Record 1
First-principles (GGA-PBE) data for an optimized crystal structure of LaNd2Co2, as listed in Alexandria via LeMat-Bulk.

The space group is C2/m (No. 12) and the conventional cell measures 11.6221, 3.8173 and 5.9027 Å, with angles of 90.00, 106.81 and 90.00 degrees. Symmetry generates all atoms from La at (0.0000, 0.0000, 0.0000), Nd at (0.1500, 0.5000, 0.5924) and Co at (0.2224, 0.5000, 0.1012).

For the electronic total energy, the calculation gives -5.695 eV/atom. For the formation energy, the calculation gives 0.0396 eV/atom. The energy above the most stable polymorph in this dataset is 61 meV per atom. The spin magnetization comes out at 0.0 μB per formula unit.

Record 2
First-principles (GGA-PBE) data for an optimized crystal structure of LaNdCo4, as listed in Alexandria via LeMat-Bulk.

The space group is Immm (No. 71) and the conventional cell measures 3.9193, 6.7984 and 8.4728 Å, with angles of 90.00, 90.00 and 90.00 degrees. Symmetry generates all atoms from La at (0.0000, 0.0000, 0.0000), Nd at (0.0000, 0.0000, 0.5000) and Co at (0.0000, 0.3333, 0.2479).

For the electronic total energy, the calculation gives -6.424 eV/atom. For the formation energy, the calculation gives -0.0708 eV/atom. The energy above the most stable polymorph in this dataset is 0 meV per atom. The spin magnetization comes out at 2.7 μB per formula unit.

Record 3
First-principles (GGA-PBE) data for an optimized crystal structure of LaNdCo, as listed in Alexandria via LeMat-Bulk.

The space group is P3m1 (No. 156) and the conventional cell measures 4.0318, 4.0318 and 6.4495 Å, with angles of 90.00, 90.00 and 120.00 degrees. Symmetry generates all atoms from La at (0.0000, 0.0000, 0.0000), Nd at (0.6667, 0.3333, 0.5428) and Co at (0.3333, 0.6667, 0.7783).

For the electronic total energy, the calculation gives -5.649 eV/atom. For the formation energy, the calculation gives -0.0485 eV/atom. The energy above the most stable polymorph in this dataset is 48 meV per atom. The spin magnetization comes out at 0.0 μB per formula unit.

Record 4
First-principles (GGA-PBE) data for an optimized crystal structure of La2NdCo, as listed in Alexandria via LeMat-Bulk.

The space group is Pnma (No. 62) and the conventional cell measures 7.1284, 10.1078 and 6.4701 Å, with angles of 90.00, 90.00 and 90.00 degrees. Symmetry generates all atoms from La at (0.1629, 0.0721, 0.1727), Nd at (0.0499, 0.2500, 0.6480) and Co at (0.1094, 0.7500, 0.9184).

For the electronic total energy, the calculation gives -5.521 eV/atom. For the formation energy, the calculation gives -0.0887 eV/atom. The energy above the most stable polymorph in this dataset is 0 meV per atom. The spin magnetization comes out at 0.0 μB per formula unit.

Record 5
First-principles (GGA-PBE) data for an optimized crystal structure of LaNdCo, as listed in Alexandria via LeMat-Bulk.

The space group is P2_1/c (No. 14) and the conventional cell measures 7.3548, 6.6993 and 7.5884 Å, with angles of 90.00, 117.39 and 90.00 degrees. Symmetry generates all atoms from La at (0.0625, 0.2003, 0.2058), Nd at (0.4423, 0.7402, 0.8501) and Co at (0.1936, 0.5251, 0.0237).

For the electronic total energy, the calculation gives -5.657 eV/atom. For the formation energy, the calculation gives -0.0563 eV/atom. The energy above the most stable polymorph in this dataset is 41 meV per atom. The spin magnetization comes out at 0.0 μB per formula unit.

Record 6
First-principles (GGA-PBE) data for an optimized crystal structure of LaNd3Co2, as listed in Alexandria via LeMat-Bulk.

The space group is C2/m (No. 12) and the conventional cell measures 17.1815, 3.8168 and 12.2833 Å, with angles of 90.00, 125.59 and 90.00 degrees. Symmetry generates all atoms from La at (0.1610, 0.0000, 0.2640), Nd at (0.0840, 0.5000, 0.4456), Nd at (0.0875, 0.5000, 0.9481), Nd at (0.1577, 0.0000, 0.7515), Co at (0.2354, 0.0000, 0.0462) and Co at (0.2348, 0.0000, 0.5608).

For the electronic total energy, the calculation gives -5.637 eV/atom. For the formation energy, the calculation gives -0.0634 eV/atom. The spin magnetization comes out at 0.1 μB per formula unit.

Record 7
First-principles (GGA-PBE) data for an optimized crystal structure of LaNd2Co6, as listed in Alexandria via LeMat-Bulk.

The space group is P6/mmm (No. 191) and the conventional cell measures 6.7782, 6.7782 and 4.2469 Å, with angles of 90.00, 90.00 and 120.00 degrees. Symmetry generates all atoms from La at (0.0000, 0.0000, 0.0000), Nd at (0.3333, 0.6667, 0.0000) and Co at (0.0000, 0.3340, 0.5000).

For the electronic total energy, the calculation gives -6.414 eV/atom. For the formation energy, the calculation gives -0.0694 eV/atom. The spin magnetization comes out at 4.5 μB per formula unit.

Record 8
First-principles (GGA-PBE) data for an optimized crystal structure of La2NdCo9, as listed in Alexandria via LeMat-Bulk.

The space group is R-3m (No. 166, hexagonal axes) and the conventional cell measures 5.0411, 5.0411 and 25.1303 Å, with angles of 90.00, 90.00 and 120.00 degrees. Symmetry generates all atoms from La at (0.0000, 0.0000, 0.1401), Nd at (0.0000, 0.0000, 0.0000), Co at (0.0000, 0.0000, 0.3323), Co at (0.0000, 0.0000, 0.5000) and Co at (0.0050, 0.5025, 0.0783).

For the electronic total energy, the calculation gives -6.591 eV/atom. For the formation energy, the calculation gives -0.0434 eV/atom. The spin magnetization comes out at 9.8 μB per formula unit.

Record 9
First-principles (GGA-PBE) data for an optimized crystal structure of LaNdCo2, as listed in Alexandria via LeMat-Bulk.

The space group is Pmc2_1 (No. 26) and the conventional cell measures 3.9217, 5.8951 and 7.7197 Å, with angles of 90.00, 90.00 and 90.00 degrees. Symmetry generates all atoms from La at (0.0000, 0.1265, 0.0000), Nd at (0.5000, 0.3737, 0.3589), Co at (0.0000, 0.3436, 0.6509) and Co at (0.5000, 0.1528, 0.7098).

For the electronic total energy, the calculation gives -6.032 eV/atom. For the formation energy, the calculation gives -0.0557 eV/atom. The energy above the most stable polymorph in this dataset is 12 meV per atom. The spin magnetization comes out at 0.0 μB per formula unit.

Record 10
First-principles (GGA-PBE) data for an optimized crystal structure of La3NdCo, as listed in Alexandria via LeMat-Bulk.

The space group is Pmn2_1 (No. 31) and the conventional cell measures 7.7382, 6.6385 and 6.4100 Å, with angles of 90.00, 90.00 and 90.00 degrees. Symmetry generates all atoms from La at (0.0000, 0.1506, 0.0000), La at (0.2485, 0.6665, 0.9977), Nd at (0.0000, 0.8428, 0.4995) and Co at (0.0000, 0.4944, 0.2453).

For the electronic total energy, the calculation gives -5.361 eV/atom. For the formation energy, the calculation gives -0.0299 eV/atom. The energy above the most stable polymorph in this dataset is 0 meV per atom. The spin magnetization comes out at 0.0 μB per formula unit.

> Which value of spin magnetization does entry 1 give?

0.0 μB per formula unit